Record 1
A plane-wave DFT calculation with PBE was carried out for a geometry-optimized PaTi4Se8 structure.

Cell: 7.747 7.747 7.747 Å, 55.95 55.95 55.95°
Fractional positions:
Pa 0.000 0.000 0.000
Ti 0.000 0.000 0.500
Ti 0.000 0.500 0.000
Ti 0.500 0.000 0.000
Ti 0.500 0.500 0.500
Se 0.243 0.243 0.243
Se 0.259 0.740 0.740
Se 0.260 0.260 0.741
Se 0.260 0.741 0.260
Se 0.740 0.259 0.740
Se 0.740 0.740 0.259
Se 0.741 0.260 0.260
Se 0.757 0.757 0.757

Density of states at the Fermi level   0.53 states/eV per atom
Total magnetization   0.002 μB per atom

***

Record 2
A plane-wave DFT calculation with PBE was carried out for a geometry-optimized La2BeBr structure.

Cell: 7.961 7.961 7.961 Å, 30.68 30.68 30.68°
Fractional positions:
La 0.241 0.241 0.241
La 0.759 0.759 0.759
Be 0.500 0.500 0.500
Br 0.000 0.000 0.000

Density of states at the Fermi level   1.26 states/eV per atom
Total magnetization   0.000 μB per atom
Excess energy over the best structure of this formula in the dataset   0.031 eV per atom

***

Volume in Å³/cell, matching the order above: 298, 116
DFT total energy in eV per cell, matching the order above: -84.884, -17.254